DFT (PBE) results for a geometry-optimized KRb2MgBr5 structure.

- theoretical density (g cm⁻³) = 3.14
- DOS at the Fermi energy (states/eV/atom) = 0.000
- spin magnetization (μB/atom) = 0.0000
- final energy (eV per atom) = -3.072
- raw formation energy (meV per atom) = -1628
- V (Å³ per atom) = 37.29
- crystal system = orthorhombic

Lattice parameters (Å, degrees): 5.272 7.817 9.410 114.54 106.27 90.00
Atoms (fractional coordinates):
Br: 0.000 0.000 0.000
Br: 0.381 0.128 0.763
Br: 0.381 0.635 0.763
Mg: 0.500 0.000 0.000
Rb: 0.207 0.207 0.414
Br: 0.619 0.872 0.237
Br: 0.619 0.365 0.237
Rb: 0.793 0.793 0.586
K: 0.000 0.500 0.000